--- 1 ---
# ErCuPdRh, optimized geometry, DFT PBE
# DOS at the Fermi energy in states/eV/cell: 2.732
data_ErCuPdRh
_chemical_formula_sum 'Er1 Cu1 Pd1 Rh1'
_symmetry_space_group_name_H-M 'P m m m'
_symmetry_Int_Tables_number 47
_symmetry_space_group_name_Hall '-P 2 2'
_cell_length_a 3.804
_cell_length_b 4.089
_cell_length_c 4.205
_cell_angle_alpha 90.00
_cell_angle_beta 90.00
_cell_angle_gamma 90.00
loop_
_atom_site_label
_atom_site_type_symbol
_atom_site_fract_x
_atom_site_fract_y
_atom_site_fract_z
_atom_site_occupancy
Er1 Er 0.000 0.000 0.000 1
Cu1 Cu 0.000 0.500 0.500 1
Pd1 Pd 0.500 0.000 0.500 1
Rh1 Rh 0.500 0.500 0.000 1



--- 2 ---
# ErCuPdRh, optimized geometry, DFT PBE
# DOS at the Fermi energy in states/eV/cell: 3.828
data_ErCuPdRh
_chemical_formula_sum 'Er4 Cu4 Pd4 Rh4'
_symmetry_space_group_name_H-M 'F -4 3 m'
_symmetry_Int_Tables_number 216
_symmetry_space_group_name_Hall 'F -4 2 3'
_cell_length_a 6.434
_cell_length_b 6.434
_cell_length_c 6.434
_cell_angle_alpha 90.00
_cell_angle_beta 90.00
_cell_angle_gamma 90.00
loop_
_atom_site_label
_atom_site_type_symbol
_atom_site_fract_x
_atom_site_fract_y
_atom_site_fract_z
_atom_site_occupancy
Er1 Er 0.000 0.000 0.000 1
Cu1 Cu 0.000 0.000 0.500 1
Pd1 Pd 0.250 0.250 0.750 1
Rh1 Rh 0.250 0.250 0.250 1



What is the stability order? It is 1, 2, from most stable to least stable.



--- 1 ---
# SmErCuPd, optimized geometry, DFT PBE
# DOS at the Fermi energy in states/eV/cell: 5.237
data_SmErCuPd
_chemical_formula_sum 'Sm2 Er2 Cu2 Pd2'
_symmetry_space_group_name_H-M 'A m m 2'
_symmetry_Int_Tables_number 38
_symmetry_space_group_name_Hall 'A 2 -2'
_cell_length_a 4.582
_cell_length_b 3.767
_cell_length_c 10.453
_cell_angle_alpha 90.00
_cell_angle_beta 90.00
_cell_angle_gamma 90.00
loop_
_atom_site_label
_atom_site_type_symbol
_atom_site_fract_x
_atom_site_fract_y
_atom_site_fract_z
_atom_site_occupancy
Sm1 Sm 0.000 0.000 0.000 1
Er1 Er 0.500 0.000 0.278 1
Cu1 Cu 0.000 0.000 0.719 1
Pd1 Pd 0.500 0.000 0.564 1



--- 2 ---
# SmErCuPd, optimized geometry, DFT PBE
# DOS at the Fermi energy in states/eV/cell: 10.825
data_SmErCuPd
_chemical_formula_sum 'Sm4 Er4 Cu4 Pd4'
_symmetry_space_group_name_H-M 'F -4 3 m'
_symmetry_Int_Tables_number 216
_symmetry_space_group_name_Hall 'F -4 2 3'
_cell_length_a 7.035
_cell_length_b 7.035
_cell_length_c 7.035
_cell_angle_alpha 90.00
_cell_angle_beta 90.00
_cell_angle_gamma 90.00
loop_
_atom_site_label
_atom_site_type_symbol
_atom_site_fract_x
_atom_site_fract_y
_atom_site_fract_z
_atom_site_occupancy
Sm1 Sm 0.000 0.000 0.000 1
Er1 Er 0.000 0.000 0.500 1
Cu1 Cu 0.250 0.250 0.250 1
Pd1 Pd 0.250 0.250 0.750 1



What is the stability order? It is 1, 2, from most stable to least stable.



--- 1 ---
# ErThCuPd, optimized geometry, DFT PBE
# DOS at the Fermi energy in states/eV/cell: 17.456
data_ErThCuPd
_chemical_formula_sum 'Er4 Th4 Cu4 Pd4'
_symmetry_space_group_name_H-M 'F -4 3 m'
_symmetry_Int_Tables_number 216
_symmetry_space_group_name_Hall 'F -4 2 3'
_cell_length_a 7.100
_cell_length_b 7.100
_cell_length_c 7.100
_cell_angle_alpha 90.00
_cell_angle_beta 90.00
_cell_angle_gamma 90.00
loop_
_atom_site_label
_atom_site_type_symbol
_atom_site_fract_x
_atom_site_fract_y
_atom_site_fract_z
_atom_site_occupancy
Er1 Er 0.000 0.000 0.000 1
Th1 Th 0.000 0.000 0.500 1
Cu1 Cu 0.250 0.250 0.750 1
Pd1 Pd 0.250 0.250 0.250 1



--- 2 ---
# ErThCuPd, optimized geometry, DFT PBE
# DOS at the Fermi energy in states/eV/cell: 7.018
data_ErThCuPd
_chemical_formula_sum 'Er2 Th2 Cu2 Pd2'
_symmetry_space_group_name_H-M 'A m m 2'
_symmetry_Int_Tables_number 38
_symmetry_space_group_name_Hall 'A 2 -2'
_cell_length_a 4.584
_cell_length_b 3.724
_cell_length_c 10.700
_cell_angle_alpha 90.00
_cell_angle_beta 90.00
_cell_angle_gamma 90.00
loop_
_atom_site_label
_atom_site_type_symbol
_atom_site_fract_x
_atom_site_fract_y
_atom_site_fract_z
_atom_site_occupancy
Er1 Er 0.000 0.000 0.000 1
Th1 Th 0.500 0.000 0.281 1
Cu1 Cu 0.000 0.000 0.719 1
Pd1 Pd 0.500 0.000 0.560 1



What is the stability order? It is 2, 1, from most stable to least stable.



--- 1 ---
# ErTmCuPd, optimized geometry, DFT PBE
# DOS at the Fermi energy in states/eV/cell: 12.657
data_ErTmCuPd
_chemical_formula_sum 'Er4 Tm4 Cu4 Pd4'
_symmetry_space_group_name_H-M 'F -4 3 m'
_symmetry_Int_Tables_number 216
_symmetry_space_group_name_Hall 'F -4 2 3'
_cell_length_a 6.907
_cell_length_b 6.907
_cell_length_c 6.907
_cell_angle_alpha 90.00
_cell_angle_beta 90.00
_cell_angle_gamma 90.00
loop_
_atom_site_label
_atom_site_type_symbol
_atom_site_fract_x
_atom_site_fract_y
_atom_site_fract_z
_atom_site_occupancy
Er1 Er 0.000 0.000 0.000 1
Tm1 Tm 0.000 0.000 0.500 1
Cu1 Cu 0.250 0.250 0.750 1
Pd1 Pd 0.250 0.250 0.250 1



--- 2 ---
# ErTmCuPd, optimized geometry, DFT PBE
# DOS at the Fermi energy in states/eV/cell: 4.172
data_ErTmCuPd
_chemical_formula_sum 'Er2 Tm2 Cu2 Pd2'
_symmetry_space_group_name_H-M 'A m m 2'
_symmetry_Int_Tables_number 38
_symmetry_space_group_name_Hall 'A 2 -2'
_cell_length_a 4.517
_cell_length_b 3.663
_cell_length_c 10.329
_cell_angle_alpha 90.00
_cell_angle_beta 90.00
_cell_angle_gamma 90.00
loop_
_atom_site_label
_atom_site_type_symbol
_atom_site_fract_x
_atom_site_fract_y
_atom_site_fract_z
_atom_site_occupancy
Er1 Er 0.000 0.000 0.000 1
Tm1 Tm 0.500 0.000 0.722 1
Cu1 Cu 0.000 0.000 0.281 1
Pd1 Pd 0.500 0.000 0.440 1



What is the stability order? It is 2, 1, from most stable to least stable.



--- 1 ---
# Pm2ErCu, optimized geometry, DFT PBE
# DOS at the Fermi energy in states/eV/cell: 6.266
data_Pm2ErCu
_chemical_formula_sum 'Pm2 Er1 Cu1'
_symmetry_space_group_name_H-M 'P 4/m m m'
_symmetry_Int_Tables_number 123
_symmetry_space_group_name_Hall '-P 4 2'
_cell_length_a 3.595
_cell_length_b 3.595
_cell_length_c 8.584
_cell_angle_alpha 90.00
_cell_angle_beta 90.00
_cell_angle_gamma 90.00
loop_
_atom_site_label
_atom_site_type_symbol
_atom_site_fract_x
_atom_site_fract_y
_atom_site_fract_z
_atom_site_occupancy
Pm1 Pm 0.000 0.000 0.203 1
Er1 Er 0.500 0.500 0.500 1
Cu1 Cu 0.500 0.500 0.000 1



--- 2 ---
# Pm2ErCu, optimized geometry, DFT PBE
# DOS at the Fermi energy in states/eV/cell: 14.927
data_Pm2ErCu
_chemical_formula_sum 'Pm6 Er3 Cu3'
_symmetry_space_group_name_H-M 'R -3 m'
_symmetry_Int_Tables_number 166
_symmetry_space_group_name_Hall '-R 3 2"'
_cell_length_a 3.4913
_cell_length_b 3.4913
_cell_length_c 34.0400
_cell_angle_alpha 90.00
_cell_angle_beta 90.00
_cell_angle_gamma 120.00
loop_
_atom_site_label
_atom_site_type_symbol
_atom_site_fract_x
_atom_site_fract_y
_atom_site_fract_z
_atom_site_occupancy
Pm1 Pm 0.0000 0.0000 0.0824 1
Er1 Er 0.0000 0.0000 0.5000 1
Cu1 Cu 0.0000 0.0000 0.0000 1



What is the stability order? It is 1, 2, from most stable to least stable.



--- 1 ---
# PmEr2Cu2, optimized geometry, DFT PBE
# DOS at the Fermi energy in states/eV/cell: 8.718
data_PmEr2Cu2
_chemical_formula_sum 'Pm2 Er4 Cu4'
_symmetry_space_group_name_H-M 'P 1 21/m 1'
_symmetry_Int_Tables_number 11
_symmetry_space_group_name_Hall '-P 2yb'
_cell_length_a 3.505
_cell_length_b 5.116
_cell_length_c 13.079
_cell_angle_alpha 90.00
_cell_angle_beta 97.70
_cell_angle_gamma 90.00
loop_
_atom_site_label
_atom_site_type_symbol
_atom_site_fract_x
_atom_site_fract_y
_atom_site_fract_z
_atom_site_occupancy
Pm1 Pm 0.142 0.250 0.283 1
Er1 Er 0.046 0.750 0.093 1
Er2 Er 0.231 0.750 0.461 1
Cu1 Cu 0.359 0.250 0.719 1
Cu2 Cu 0.457 0.750 0.914 1



--- 2 ---
# PmEr2Cu2, optimized geometry, DFT PBE
# DOS at the Fermi energy in states/eV/cell: 10.902
data_PmEr2Cu2
_chemical_formula_sum 'Pm2 Er4 Cu4'
_symmetry_space_group_name_H-M 'P 1 21/m 1'
_symmetry_Int_Tables_number 11
_symmetry_space_group_name_Hall '-P 2yb'
_cell_length_a 4.978
_cell_length_b 4.613
_cell_length_c 10.698
_cell_angle_alpha 90.00
_cell_angle_beta 96.53
_cell_angle_gamma 90.00
loop_
_atom_site_label
_atom_site_type_symbol
_atom_site_fract_x
_atom_site_fract_y
_atom_site_fract_z
_atom_site_occupancy
Pm1 Pm 0.191 0.250 0.242 1
Er1 Er 0.250 0.750 0.496 1
Er2 Er 0.345 0.250 0.887 1
Cu1 Cu 0.127 0.750 0.007 1
Cu2 Cu 0.283 0.250 0.634 1



What is the stability order? It is 1, 2, from most stable to least stable.



--- 1 ---
# PmErCu2, optimized geometry, DFT PBE
# DOS at the Fermi energy in states/eV/cell: 2.711
data_PmErCu2
_chemical_formula_sum 'Pm1 Er1 Cu2'
_symmetry_space_group_name_H-M 'P 1 m 1'
_symmetry_Int_Tables_number 6
_symmetry_space_group_name_Hall 'P -2y'
_cell_length_a 3.790
_cell_length_b 4.487
_cell_length_c 5.526
_cell_angle_alpha 90.00
_cell_angle_beta 109.63
_cell_angle_gamma 90.00
loop_
_atom_site_label
_atom_site_type_symbol
_atom_site_fract_x
_atom_site_fract_y
_atom_site_fract_z
_atom_site_occupancy
Pm1 Pm 0.000 0.000 0.000 1
Er1 Er 0.719 0.500 0.436 1
Cu1 Cu 0.288 0.000 0.572 1
Cu2 Cu 0.424 0.500 0.850 1



--- 2 ---
# PmErCu2, optimized geometry, DFT PBE
# DOS at the Fermi energy in states/eV/cell: 14.145
data_PmErCu2
_chemical_formula_sum 'Pm4 Er4 Cu8'
_symmetry_space_group_name_H-M 'F m -3 m'
_symmetry_Int_Tables_number 225
_symmetry_space_group_name_Hall '-F 4 2 3'
_cell_length_a 7.008
_cell_length_b 7.008
_cell_length_c 7.008
_cell_angle_alpha 90.00
_cell_angle_beta 90.00
_cell_angle_gamma 90.00
loop_
_atom_site_label
_atom_site_type_symbol
_atom_site_fract_x
_atom_site_fract_y
_atom_site_fract_z
_atom_site_occupancy
Pm1 Pm 0.000 0.000 0.000 1
Er1 Er 0.000 0.000 0.500 1
Cu1 Cu 0.250 0.250 0.250 1



What is the stability order? It is 1, 2, from most stable to least stable.